Here is an optimized crystal structure of BeOsI2O from Alexandria. Energies are from PBE.

Its spin magnetization is 0.000 μB per formula unit. The calculation puts the energy above the most stable polymorph in this dataset at 0 kJ/mol of formula units. The formation energy without anion corrections comes out at 0.2818 eV/atom.

The space group is P4/mmm (No. 123) and the conventional cell measures 5.420, 5.420 and 3.026 Å, with angles of 90.00, 90.00 and 90.00 degrees. Symmetry generates all atoms from Be at (0.000, 0.000, 0.000), Os at (0.500, 0.500, 0.500), I at (0.000, 0.500, 0.000) and O at (0.000, 0.000, 0.500).